Entry 1:
AlSi3Ni after structural relaxation. Source: the Alexandria database, functional GGA-PBE.

- size of the total moment (μB per cell) = 0.0
- energy relative to the elements, uncorrected (eV per atom) = 0.155

a b c (Å): 5.9619 5.9619 5.9619
angles (deg): 90.00 90.00 90.00
Atoms (fractional coordinates):
Ni: 0.0000 0.0000 0.5000
Ni: 0.0000 0.5000 0.0000
Ni: 0.5000 0.0000 0.0000
Si: 0.7791 0.2209 0.2209
Si: 0.2209 0.7791 0.7791
Si: 0.2209 0.2209 0.2209
Si: 0.7791 0.7791 0.7791
Si: 0.2209 0.2209 0.7791
Si: 0.5000 0.5000 0.5000
Si: 0.7791 0.7791 0.2209
Si: 0.7791 0.2209 0.7791
Si: 0.2209 0.7791 0.2209
Al: 0.0000 0.5000 0.5000
Al: 0.5000 0.0000 0.5000
Al: 0.5000 0.5000 0.0000

---

Entry 2:
AlSiNi after structural relaxation. Source: the Alexandria database, functional GGA-PBE.

- size of the total moment (μB per cell) = 0.0
- energy relative to the elements, uncorrected (eV per atom) = -0.059

a b c (Å): 7.3371 7.3371 2.5796
angles (deg): 90.00 90.00 120.00
Atoms (fractional coordinates):
Ni: 0.4094 0.0000 0.5000
Ni: 0.0000 0.4094 0.5000
Ni: 0.5906 0.5906 0.5000
Al: 0.0000 0.7028 0.0000
Al: 0.2972 0.2972 0.0000
Al: 0.7028 0.0000 0.0000
Si: 0.6667 0.3333 0.0000
Si: 0.3333 0.6667 0.0000
Si: 0.0000 0.0000 0.5000

---

Entry 3:
Al2Si2Ni after structural relaxation. Source: the Alexandria database, functional GGA-PBE.

- size of the total moment (μB per cell) = 0.0
- energy relative to the elements, uncorrected (eV per atom) = -0.157

a b c (Å): 6.3546 6.3546 5.4965
angles (deg): 67.64 67.64 50.65
Atoms (fractional coordinates):
Si: 0.4109 0.3336 0.5760
Si: 0.5891 0.6664 0.4240
Si: 0.6664 0.5891 0.9240
Si: 0.3336 0.4109 0.0760
Ni: 0.7371 0.2629 0.7500
Ni: 0.2629 0.7371 0.2500
Al: 0.8185 0.9190 0.1703
Al: 0.1815 0.0810 0.8297
Al: 0.9190 0.8185 0.6703
Al: 0.0810 0.1815 0.3297

---

Entry 4:
AlSiNi after structural relaxation. Source: the Alexandria database, functional GGA-PBE.

- size of the total moment (μB per cell) = 0.0
- energy relative to the elements, uncorrected (eV per atom) = -0.030

a b c (Å): 4.2499 4.2499 5.0737
angles (deg): 90.00 90.00 120.00
Atoms (fractional coordinates):
Al: 0.6667 0.3333 0.2500
Al: 0.3333 0.6667 0.7500
Ni: 0.6667 0.3333 0.7500
Ni: 0.3333 0.6667 0.2500
Si: 0.0000 0.0000 0.5000
Si: 0.0000 0.0000 0.0000